(1)
Below is crystalline MnPbBr2 at its relaxed geometry, with properties calculated at the PBE-GGA level.

The structure in POSCAR format:
```
MnPbBr2
1.0
7.135 0.185 0.002
4.017 5.899 -0.002
-4.969 -4.155 2.998
Br Mn Pb
2 1 1
direct
0.902 0.902 0.000 Br
0.598 0.598 0.000 Br
0.750 0.250 0.500 Mn
0.250 0.750 0.500 Pb
```

## Properties
M_tot	4.1	μB/cell
excess energy over the best structure of this formula in the dataset	0.56	eV/f.u.
SG	No. 71
uncorrected formation energy	-0.257	eV/atom

***

(2)
Below is crystalline LiVIN2 at its relaxed geometry, with properties calculated at the PBE-GGA level.

The structure in POSCAR format:
```
LiVIN2
1.0
3.840 0.000 0.000
0.000 3.840 0.000
0.000 0.000 4.871
I N Li V
1 2 1 1
direct
0.000 0.000 0.500 I
0.000 0.500 0.000 N
0.500 0.000 0.000 N
0.000 0.000 0.000 Li
0.500 0.500 0.500 V
```

## Properties
M_tot	1.3	μB/cell
excess energy over the best structure of this formula in the dataset	9.03	eV/f.u.
SG	No. 123
uncorrected formation energy	1.803	eV/atom

***

(3)
Below is crystalline Pm3Ni2Pb at its relaxed geometry, with properties calculated at the PBE-GGA level.

The structure in POSCAR format:
```
Pm3Ni2Pb
1.0
7.097 -0.100 -0.078
2.200 6.749 -0.078
2.200 1.573 6.563
Pm Ni Pb
6 4 2
direct
0.447 0.053 0.750 Pm
0.053 0.750 0.447 Pm
0.750 0.447 0.053 Pm
0.553 0.947 0.250 Pm
0.947 0.250 0.553 Pm
0.250 0.553 0.947 Pm
0.328 0.328 0.328 Ni
0.172 0.172 0.172 Ni
0.828 0.828 0.828 Ni
0.672 0.672 0.672 Ni
0.500 0.500 0.500 Pb
0.000 0.000 0.000 Pb
```

## Properties
M_tot	0.0	μB/cell
SG	No. 167
calculated formation energy	-0.198	eV per atom

***

(4)
Below is crystalline AlIn2Pt at its relaxed geometry, with properties calculated at the PBE-GGA level.

The structure in POSCAR format:
```
AlIn2Pt
1.0
-2.999 3.711 7.755
-1.289 -8.315 3.480
0.115 -2.289 6.485
Al Pt In
2 2 4
direct
0.500 0.500 0.000 Al
0.250 0.750 0.500 Al
0.000 0.000 0.000 Pt
0.750 0.250 0.500 Pt
0.726 0.125 0.250 In
0.024 0.625 0.250 In
0.375 0.274 0.750 In
0.875 0.976 0.750 In
```

## Properties
M_tot	0.0	μB/cell
SG	No. 122
calculated formation energy	-0.196	eV per atom

***

Which formula does entry 3 have?
Pm3Ni2Pb